Entry 1:
A plane-wave DFT calculation with PBE was carried out for crystalline La5Cu3 at its relaxed geometry.

Structure (POSCAR):
```
La5Cu3
1.0
8.608 0.000 0.000
-4.304 7.455 0.000
0.000 0.000 6.960
Cu La
6 10
Cartesian
5.176 0.000 1.740
3.432 0.000 5.220
-2.588 4.483 1.740
1.716 2.972 1.740
2.588 4.483 5.220
-1.716 2.972 5.220
0.000 4.970 0.000
4.304 2.485 3.480
4.304 2.485 0.000
0.000 4.970 3.480
2.087 0.000 1.740
6.521 0.000 5.220
-1.043 1.807 1.740
3.261 5.648 1.740
1.043 1.807 5.220
-3.261 5.648 5.220
```

Calculated values
Formation energy ... -7.9 kJ per mole of atoms
Symmetry ... P6_3/mcm, No. 193
Relative energy among the computed polymorphs ... 11 meV per atom

***

Entry 2:
A plane-wave DFT calculation with PBE was carried out for crystalline La5Cu3 at its relaxed geometry.

Structure (POSCAR):
```
La5Cu3
1.0
3.972 -5.316 0.000
3.972 5.316 0.000
0.000 0.000 5.102
La Cu
5 3
Cartesian
0.000 0.000 0.000
1.986 -2.658 0.000
1.986 2.658 0.000
5.587 0.000 2.551
2.357 0.000 2.551
3.972 0.000 0.000
3.972 -3.124 2.551
3.972 3.124 2.551
```

Calculated values
Formation energy ... 1.4 kJ per mole of atoms
Symmetry ... Cmmm, No. 65
Relative energy among the computed polymorphs ... 107 meV per atom

***

no.,Fermi-level density of states (states/eV per atom)
1,1.023
2,1.451